This record from Alexandria via LeMat-Bulk describes a relaxed structure of Ac2HoAgS5. The functional is PBE-GGA.

Results
The value obtained for the uncorrected formation energy is -41.55 kcal/mol of atoms. Its symmetry is No. 36. The value obtained for the raw total energy is -105.0 eV for the cell shown. The value obtained for the calculated volume is 24.411 Å³/atom. Its crystal system is orthorhombic.

a b c (Å): 4.134 8.852 12.349
angles (deg): 90.00 90.00 103.50
Fractional positions:
S1 0.502 0.005 0.273
S2 0.951 0.901 0.573
S3 0.712 0.423 0.159
S4 0.306 0.613 0.355
S5 0.355 0.709 0.001
S6 0.498 0.995 0.773
S7 0.694 0.387 0.855
S8 0.049 0.099 0.073
S9 0.288 0.577 0.659
S10 0.645 0.291 0.501
Ac1 0.889 0.778 0.185
Ac2 0.111 0.222 0.685
Ac3 0.873 0.747 0.807
Ac4 0.127 0.253 0.307
Ag1 0.544 0.088 0.963
Ag2 0.456 0.912 0.463
Ho1 0.195 0.391 0.008
Ho2 0.805 0.609 0.508